## TaW3C (PBE)

Data for crystalline TaW3C at its relaxed geometry.

Size of the total moment ... 0.00 μB/atom
Volume ... 14.82 Å³/atom
Crystal system ... cubic
Formation energy from the elements ... 0.13 eV per atom

The structure in POSCAR format:
```
TaW3C
1.0
4.2003 0.0000 0.0000
0.0000 4.2003 0.0000
0.0000 0.0000 4.2003
Ta W C
1 3 1
Direct
0.0000 0.0000 0.0000 Ta
0.0000 0.5000 0.5000 W
0.5000 0.0000 0.5000 W
0.5000 0.5000 0.0000 W
0.5000 0.5000 0.5000 C
```

## Hf3ZnCo3 (PBE)

Data for crystalline Hf3ZnCo3 at its relaxed geometry.

Size of the total moment ... 0.00 μB/atom
Volume ... 15.69 Å³/atom
Crystal system ... orthorhombic
Formation energy from the elements ... -0.38 eV per atom

The structure in POSCAR format:
```
Hf3ZnCo3
1.0
1.9994 -4.5829 0.0000
1.9994 4.5829 0.0000
0.0000 0.0000 11.9863
Hf Zn Co
6 2 6
Direct
0.0203 0.9797 0.7500 Hf
0.3031 0.6969 0.6055 Hf
0.3031 0.6969 0.8945 Hf
0.6969 0.3031 0.1055 Hf
0.6969 0.3031 0.3945 Hf
0.9797 0.0203 0.2500 Hf
0.0000 0.0000 0.0000 Zn
0.0000 0.0000 0.5000 Zn
0.2507 0.7493 0.2500 Co
0.4053 0.5947 0.0954 Co
0.4053 0.5947 0.4046 Co
0.5947 0.4053 0.5954 Co
0.5947 0.4053 0.9046 Co
0.7493 0.2507 0.7500 Co
```